## i
{
  "formula": "CrAgF3",
  "functional": "GGA+U",
  "state": "optimized geometry",
  "n_ef_per_ev_fu": 13.854,
  "m_tot_mub_per_cell": 4.49,
  "spacegroup": "No. 221",
  "cell": [[4.3671, 0.0000, 0.0000], [0.0000, 4.3671, 0.0000], [0.0000, 0.0000, 4.3671]],
  "species": ["Ag", "F", "F", "F", "Cr"],
  "frac_coords": [[0.0000, 0.0000, 0.0000], [0.5000, 0.0000, 0.0000], [0.0000, 0.5000, 0.0000], [0.0000, 0.0000, 0.5000], [0.5000, 0.5000, 0.5000]]
}

## ii
{
  "formula": "CrAgF3",
  "functional": "GGA+U",
  "state": "optimized geometry",
  "n_ef_per_ev_fu": 1.420,
  "m_tot_mub_per_cell": 3.77,
  "spacegroup": "No. 221",
  "cell": [[-0.2134, 2.2251, -3.4604], [-3.8406, 1.1345, 0.9663], [1.4749, 3.2761, 2.0157]],
  "species": ["Cr", "Ag", "F", "F", "F"],
  "frac_coords": [[0.0000, 0.0000, 0.0000], [0.5000, 0.5000, 0.5000], [0.0000, 0.5000, 0.0000], [0.5000, 0.0000, 0.0000], [0.0000, 0.0000, 0.5000]]
}

It is i that is the least stable of them.

## i
{
  "formula": "CrAgF4",
  "functional": "GGA+U",
  "state": "optimized geometry",
  "n_ef_per_ev_fu": 0.000,
  "m_tot_mub_per_cell": 5.90,
  "spacegroup": "No. 53",
  "cell": [[5.1235, 0.0000, 0.0000], [0.0000, 6.0548, 0.0000], [0.0000, 0.0000, 5.4608]],
  "species": ["F", "F", "F", "F", "F", "F", "F", "F", "Ag", "Ag", "Cr", "Cr"],
  "frac_coords": [[0.9219, 0.2073, 0.5000], [0.8120, 0.6022, 0.7500], [0.2021, 0.7926, 0.5000], [0.7021, 0.2074, 0.0000], [0.4219, 0.7927, 0.0000], [0.3120, 0.3978, 0.2500], [0.8120, 0.6022, 0.2500], [0.3120, 0.3978, 0.7500], [0.5619, 0.0001, 0.5000], [0.0619, 0.9999, 0.0000], [0.0620, 0.5000, 0.5000], [0.5620, 0.5000, 0.0000]]
}

## ii
{
  "formula": "CrAgF4",
  "functional": "GGA+U",
  "state": "optimized geometry",
  "n_ef_per_ev_fu": 0.000,
  "m_tot_mub_per_cell": 2.96,
  "spacegroup": "No. 65",
  "cell": [[-1.8097, 2.4497, 0.5786], [-1.9586, -2.4881, 4.4089], [4.0289, 2.3132, 2.8076]],
  "species": ["F", "F", "F", "F", "Ag", "Cr"],
  "frac_coords": [[0.0000, 0.7453, 0.7453], [0.5000, 0.1606, 0.8394], [0.5000, 0.8394, 0.1606], [0.0000, 0.2547, 0.2547], [0.5000, 0.5000, 0.5000], [0.0000, 0.0000, 0.0000]]
}

It is ii that is the least stable of them.

## i
{
  "formula": "CrRe2AgF",
  "functional": "GGA+U",
  "state": "optimized geometry",
  "n_ef_per_ev_fu": 4.229,
  "m_tot_mub_per_cell": 0.00,
  "spacegroup": "No. 123",
  "cell": [[4.6340, 0.0000, 0.0000], [0.0000, 3.6832, 0.0000], [0.0000, 0.0000, 4.6340]],
  "species": ["Re", "Re", "Ag", "Cr", "F"],
  "frac_coords": [[0.5000, 0.0000, 0.0000], [0.0000, 0.0000, 0.5000], [0.5000, 0.5000, 0.5000], [0.0000, 0.0000, 0.0000], [0.0000, 0.5000, 0.0000]]
}

## ii
{
  "formula": "CrRe2AgF",
  "functional": "GGA+U",
  "state": "optimized geometry",
  "n_ef_per_ev_fu": 3.239,
  "m_tot_mub_per_cell": 2.98,
  "spacegroup": "No. 123",
  "cell": [[-1.2379, 1.6195, -4.6270], [-3.8976, -3.2900, -0.1088], [-3.0184, 3.5085, 2.0356]],
  "species": ["Cr", "Ag", "Re", "Re", "F"],
  "frac_coords": [[0.0000, 0.5000, 0.0000], [0.0000, 0.0000, 0.0000], [0.5000, 0.0000, 0.0000], [0.0000, 0.0000, 0.5000], [0.5000, 0.5000, 0.5000]]
}

It is ii that is the least stable of them.

## i
{
  "formula": "CrAgRuF2",
  "functional": "GGA+U",
  "state": "optimized geometry",
  "n_ef_per_ev_fu": 4.037,
  "m_tot_mub_per_cell": 3.03,
  "spacegroup": "No. 123",
  "cell": [[-0.3815, 0.6871, -3.9559], [3.5200, -4.0429, -1.0416], [-3.0597, -2.6227, -0.1605]],
  "species": ["Ru", "F", "F", "Ag", "Cr"],
  "frac_coords": [[0.0000, 0.0000, 0.0000], [0.5000, 0.0000, 0.0000], [0.0000, 0.0000, 0.5000], [0.5000, 0.5000, 0.5000], [0.0000, 0.5000, 0.0000]]
}

## ii
{
  "formula": "CrAgRuF2",
  "functional": "GGA+U",
  "state": "optimized geometry",
  "n_ef_per_ev_fu": 16.158,
  "m_tot_mub_per_cell": 0.85,
  "spacegroup": "No. 123",
  "cell": [[3.8010, 0.0000, 0.0000], [0.0000, 5.8345, 0.0000], [0.0000, 0.0000, 3.8010]],
  "species": ["Ag", "F", "F", "Cr", "Ru"],
  "frac_coords": [[0.0000, 0.5000, 0.0000], [0.5000, 0.0000, 0.0000], [0.0000, 0.0000, 0.5000], [0.0000, 0.0000, 0.0000], [0.5000, 0.5000, 0.5000]]
}

It is ii that is the least stable of them.

## i
{
  "formula": "CrAgTeF2",
  "functional": "GGA+U",
  "state": "optimized geometry",
  "n_ef_per_ev_fu": 1.227,
  "m_tot_mub_per_cell": 3.61,
  "spacegroup": "No. 123",
  "cell": [[3.9906, 0.0000, 0.0000], [0.0000, 3.9906, 0.0000], [0.0000, 0.0000, 6.1347]],
  "species": ["F", "F", "Ag", "Cr", "Te"],
  "frac_coords": [[0.0000, 0.5000, 0.0000], [0.5000, 0.0000, 0.0000], [0.5000, 0.5000, 0.5000], [0.0000, 0.0000, 0.0000], [0.0000, 0.0000, 0.5000]]
}

## ii
{
  "formula": "CrAgTeF2",
  "functional": "GGA+U",
  "state": "optimized geometry",
  "n_ef_per_ev_fu": 2.124,
  "m_tot_mub_per_cell": 4.13,
  "spacegroup": "No. 123",
  "cell": [[3.9615, 0.0000, 0.0000], [0.0000, 6.9229, 0.0000], [0.0000, 0.0000, 3.9615]],
  "species": ["Cr", "F", "F", "Te", "Ag"],
  "frac_coords": [[0.0000, 0.0000, 0.0000], [0.5000, 0.0000, 0.0000], [0.0000, 0.0000, 0.5000], [0.5000, 0.5000, 0.5000], [0.0000, 0.5000, 0.0000]]
}

It is ii that is the least stable of them.